Here is a geometry-optimized BaSr7MnFe7O24 structure from Alexandria. Energies are from PBE+U.

Structure (POSCAR):
```
BaSr7MnFe7O24
1.0
5.556 3.208 4.536
-5.556 3.208 4.536
0.000 -6.416 4.536
Ba Sr Mn Fe O
1 7 1 7 24
Cartesian
0.000 0.000 0.000 Ba
0.000 3.203 11.340 Sr
2.774 -1.601 11.340 Sr
2.774 1.601 9.077 Sr
-2.774 -1.601 11.340 Sr
-2.774 1.601 9.077 Sr
0.000 -3.203 9.077 Sr
0.000 0.000 6.813 Sr
0.000 0.000 10.195 Mn
0.000 0.000 3.419 Fe
0.000 -3.194 5.678 Fe
-2.766 1.597 5.678 Fe
-2.766 -1.597 7.937 Fe
2.766 1.597 5.678 Fe
2.766 -1.597 7.937 Fe
0.000 3.194 7.937 Fe
-1.411 -0.815 2.309 O
-1.406 -3.967 4.543 O
-4.139 0.766 4.543 O
0.000 -1.595 4.550 O
-1.377 -2.397 6.803 O
-1.381 0.798 4.550 O
-2.764 0.006 6.803 O
1.411 -0.815 2.309 O
1.406 -3.967 4.543 O
0.000 1.630 2.309 O
-2.733 3.201 4.543 O
1.377 -2.397 6.803 O
-1.387 2.391 6.803 O
1.381 0.798 4.550 O
-1.369 -0.790 9.074 O
4.139 0.766 4.543 O
2.733 3.201 4.543 O
0.000 -1.615 11.292 O
-1.399 0.808 11.292 O
2.764 0.006 6.803 O
1.387 2.391 6.803 O
1.369 -0.790 9.074 O
0.000 1.580 9.074 O
1.399 0.808 11.292 O
```

Output
Total DFT energy (no corrections) = -256.6 eV per cell
Fermi-level density of states = 0.4973 states/eV per atom